The following is a GGA-PBE calculation of a relaxed CsThInBr6 crystal, from Alexandria.

Geometry as POSCAR:
```
CsThInBr6
1.0
8.584 0.000 0.000
-4.292 7.434 0.000
0.000 0.000 12.676
Cs Th In Br
2 2 2 12
Cartesian
0.000 4.956 3.169
4.292 2.478 9.507
0.000 4.956 9.507
4.292 2.478 3.169
0.000 0.000 0.000
0.000 0.000 6.338
-1.050 2.866 7.863
-2.335 5.092 11.151
1.050 2.866 11.151
-1.285 6.910 7.863
3.007 0.524 1.525
1.957 2.342 4.813
2.335 5.092 7.863
1.285 6.910 11.151
5.577 0.524 4.813
3.242 4.568 1.525
6.627 2.342 1.525
5.341 4.568 4.813
```

space group = P-31c
raw formation energy = -1.5363 eV per atom
calculated volume = 808.9 Å³/cell